VASP calculation (GGA-PBE) on an optimized crystal structure of Sr2Cl2O.

The structure in POSCAR format:
```
Sr2Cl2O
1.0
4.094 0.000 0.000
0.000 7.614 0.000
-2.047 0.000 8.064
Sr Cl O
4 4 2
direct
0.458 0.402 0.916 Sr
0.840 0.030 0.681 Sr
0.160 0.530 0.319 Sr
0.542 0.902 0.084 Sr
0.939 0.712 0.879 Cl
0.795 0.401 0.589 Cl
0.205 0.901 0.411 Cl
0.061 0.212 0.121 Cl
0.415 0.089 0.830 O
0.585 0.589 0.170 O
```

total DFT energy (no corrections)	-49.5	eV/cell
total moment	0.000	μB per formula unit
Fermi-level density of states	0.00	states/eV/cell